Entry 1:
! ZnBiAsO | the Open Quantum Materials Database | PBE-GGA | relaxed; values from VASP
! SG: Pmc2_1
! excess energy over the best structure of this formula in the dataset: 7.1 meV per atom
&SYSTEM
  ibrav = 0, nat = 8, ntyp = 4
/
ATOMIC_SPECIES
Zn 65.41 Zn.upf
Bi 208.98 Bi.upf
As 74.92 As.upf
O 16.00 O.upf
CELL_PARAMETERS angstrom
4.478 0.000 0.000
0.000 6.247 0.000
0.000 0.000 5.993
ATOMIC_POSITIONS angstrom
Zn 0.000 0.864 0.000
Zn 0.000 5.383 2.996
Bi 2.239 1.646 2.465
Bi 2.239 4.601 5.461
As 2.239 1.757 5.301
As 2.239 4.490 2.305
O 0.000 0.954 2.064
O 0.000 5.293 5.060

Entry 2:
! ZnBiAsO | the Open Quantum Materials Database | PBE-GGA | relaxed; values from VASP
! SG: P4/nmm
! excess energy over the best structure of this formula in the dataset: 309.1 meV per atom
&SYSTEM
  ibrav = 0, nat = 8, ntyp = 4
/
ATOMIC_SPECIES
Zn 65.41 Zn.upf
Bi 208.98 Bi.upf
As 74.92 As.upf
O 16.00 O.upf
CELL_PARAMETERS angstrom
3.825 0.000 0.000
0.000 3.825 0.000
0.000 0.000 10.667
ATOMIC_POSITIONS angstrom
Zn 0.956 0.956 1.570
Zn 2.869 2.869 9.096
Bi 0.956 0.956 6.662
Bi 2.869 2.869 4.005
As 0.956 0.956 9.689
As 2.869 2.869 0.978
O 0.956 2.869 5.333
O 2.869 0.956 5.333

Entry 3:
! ZnBiAsO | the Open Quantum Materials Database | PBE-GGA | relaxed; values from VASP
! SG: Cmcm
! excess energy over the best structure of this formula in the dataset: 155.6 meV per atom
&SYSTEM
  ibrav = 0, nat = 8, ntyp = 4
/
ATOMIC_SPECIES
Zn 65.41 Zn.upf
Bi 208.98 Bi.upf
As 74.92 As.upf
O 16.00 O.upf
CELL_PARAMETERS angstrom
1.567 -8.510 0.000
1.567 8.510 0.000
0.000 0.000 5.432
ATOMIC_POSITIONS angstrom
Zn 0.000 0.000 0.000
Zn 0.000 0.000 2.716
Bi 1.567 2.962 4.074
Bi 1.567 -2.962 1.358
As 1.567 5.918 4.074
As 1.567 -5.918 1.358
O 1.567 0.543 4.074
O 1.567 -0.543 1.358

Entry 4:
! ZnBiAsO | the Open Quantum Materials Database | PBE-GGA | relaxed; values from VASP
! SG: Pbam
! excess energy over the best structure of this formula in the dataset: 5.3 meV per atom
&SYSTEM
  ibrav = 0, nat = 32, ntyp = 4
/
ATOMIC_SPECIES
Zn 65.41 Zn.upf
Bi 208.98 Bi.upf
As 74.92 As.upf
O 16.00 O.upf
CELL_PARAMETERS angstrom
9.061 0.000 0.000
0.000 16.930 0.000
0.000 0.000 4.458
ATOMIC_POSITIONS angstrom
Zn 0.796 2.111 0.000
Zn 0.836 10.589 0.000
Zn 3.695 2.125 0.000
Zn 3.734 10.576 0.000
Zn 5.327 6.354 0.000
Zn 5.367 14.805 0.000
Zn 8.225 6.340 0.000
Zn 8.265 14.818 0.000
Bi 2.235 4.317 2.229
Bi 2.258 8.384 2.229
Bi 2.272 16.849 2.229
Bi 2.296 12.781 2.229
Bi 6.766 4.148 2.229
Bi 6.789 0.081 2.229
Bi 6.803 8.545 2.229
Bi 6.826 12.613 2.229
As 0.236 6.355 2.229
As 0.271 14.808 2.229
As 4.259 6.344 2.229
As 4.295 14.820 2.229
As 4.767 2.110 2.229
As 4.802 10.586 2.229
As 8.790 2.121 2.229
As 8.825 10.575 2.229
O 2.241 3.587 0.000
O 2.251 0.648 0.000
O 2.279 9.113 0.000
O 2.289 12.052 0.000
O 6.772 4.878 0.000
O 6.782 7.816 0.000
O 6.810 16.281 0.000
O 6.820 13.343 0.000

Entry 5:
! ZnBiAsO | the Open Quantum Materials Database | PBE-GGA | relaxed; values from VASP
! SG: P4/nmm
! excess energy over the best structure of this formula in the dataset: 480.4 meV per atom
&SYSTEM
  ibrav = 0, nat = 8, ntyp = 4
/
ATOMIC_SPECIES
Zn 65.41 Zn.upf
Bi 208.98 Bi.upf
As 74.92 As.upf
O 16.00 O.upf
CELL_PARAMETERS angstrom
4.393 0.000 0.000
0.000 4.393 0.000
0.000 0.000 9.275
ATOMIC_POSITIONS angstrom
Zn 1.098 1.098 0.013
Zn 3.295 3.295 9.261
Bi 1.098 3.295 4.637
Bi 3.295 1.098 4.637
As 1.098 1.098 6.620
As 3.295 3.295 2.654
O 1.098 3.295 0.000
O 3.295 1.098 0.000

Entry 6:
! ZnBiAsO | the Open Quantum Materials Database | PBE-GGA | relaxed; values from VASP
! SG: Pmc2_1
! excess energy over the best structure of this formula in the dataset: 85.8 meV per atom
&SYSTEM
  ibrav = 0, nat = 8, ntyp = 4
/
ATOMIC_SPECIES
Zn 65.41 Zn.upf
Bi 208.98 Bi.upf
As 74.92 As.upf
O 16.00 O.upf
CELL_PARAMETERS angstrom
3.705 0.000 0.000
0.000 6.764 0.000
0.000 0.000 6.700
ATOMIC_POSITIONS angstrom
Zn 0.000 1.026 0.000
Zn 0.000 5.739 3.350
Bi 1.853 2.729 3.984
Bi 1.853 4.035 0.634
As 0.000 1.310 2.544
As 0.000 5.454 5.894
O 1.853 1.744 6.062
O 1.853 5.020 2.712

Entry 7:
! ZnBiAsO | the Open Quantum Materials Database | PBE-GGA | relaxed; values from VASP
! SG: Pbam
! excess energy over the best structure of this formula in the dataset: 87.3 meV per atom
&SYSTEM
  ibrav = 0, nat = 32, ntyp = 4
/
ATOMIC_SPECIES
Zn 65.41 Zn.upf
Bi 208.98 Bi.upf
As 74.92 As.upf
O 16.00 O.upf
CELL_PARAMETERS angstrom
9.560 0.000 0.000
0.000 18.501 0.000
0.000 0.000 3.739
ATOMIC_POSITIONS angstrom
Zn 0.634 1.353 0.000
Zn 0.858 11.479 0.000
Zn 3.922 2.228 0.000
Zn 4.146 10.604 0.000
Zn 5.415 7.898 0.000
Zn 5.638 16.273 0.000
Zn 8.702 7.022 0.000
Zn 8.926 17.148 0.000
Bi 0.245 4.214 1.869
Bi 2.259 7.364 1.869
Bi 2.521 16.614 1.869
Bi 4.535 13.464 1.869
Bi 5.026 5.037 1.869
Bi 7.040 1.887 1.869
Bi 7.301 11.137 1.869
Bi 9.315 14.287 1.869
As 2.087 9.315 0.000
As 2.231 4.201 0.000
As 2.550 13.451 0.000
As 2.694 0.064 0.000
As 6.867 18.437 0.000
As 7.011 5.050 0.000
As 7.330 14.300 0.000
As 7.474 9.186 0.000
O 0.007 11.760 1.869
O 0.016 16.664 1.869
O 4.764 7.414 1.869
O 4.773 2.509 1.869
O 4.787 15.992 1.869
O 4.796 11.087 1.869
O 9.544 1.837 1.869
O 9.553 6.741 1.869

Entry 8:
! ZrBiAsO | the Open Quantum Materials Database | PBE-GGA | relaxed; values from VASP
! SG: P4/nmm
! excess energy over the best structure of this formula in the dataset: 184.3 meV per atom
&SYSTEM
  ibrav = 0, nat = 8, ntyp = 4
/
ATOMIC_SPECIES
Zr 91.22 Zr.upf
Bi 208.98 Bi.upf
As 74.92 As.upf
O 16.00 O.upf
CELL_PARAMETERS angstrom
4.135 0.000 0.000
0.000 4.135 0.000
0.000 0.000 9.538
ATOMIC_POSITIONS angstrom
Zr 1.034 1.034 0.856
Zr 3.101 3.101 8.682
Bi 1.034 3.101 4.769
Bi 3.101 1.034 4.769
As 1.034 1.034 7.301
As 3.101 3.101 2.237
O 1.034 3.101 0.000
O 3.101 1.034 0.000

Entry 9:
! ZrBiAsO | the Open Quantum Materials Database | PBE-GGA | relaxed; values from VASP
! SG: P4/nmm
! excess energy over the best structure of this formula in the dataset: 433.6 meV per atom
&SYSTEM
  ibrav = 0, nat = 8, ntyp = 4
/
ATOMIC_SPECIES
Zr 91.22 Zr.upf
Bi 208.98 Bi.upf
As 74.92 As.upf
O 16.00 O.upf
CELL_PARAMETERS angstrom
4.435 0.000 0.000
0.000 4.435 0.000
0.000 0.000 8.365
ATOMIC_POSITIONS angstrom
Zr 1.109 3.326 0.000
Zr 3.326 1.109 0.000
Bi 1.109 1.109 3.222
Bi 3.326 3.326 5.142
As 1.109 1.109 6.811
As 3.326 3.326 1.553
O 1.109 3.326 4.182
O 3.326 1.109 4.182

Entry 10:
! ZrBiAsO | the Open Quantum Materials Database | PBE-GGA | relaxed; values from VASP
! SG: Pmc2_1
! excess energy over the best structure of this formula in the dataset: 23.1 meV per atom
&SYSTEM
  ibrav = 0, nat = 8, ntyp = 4
/
ATOMIC_SPECIES
Zr 91.22 Zr.upf
Bi 208.98 Bi.upf
As 74.92 As.upf
O 16.00 O.upf
CELL_PARAMETERS angstrom
3.703 0.000 0.000
0.000 7.762 0.000
0.000 0.000 6.912
ATOMIC_POSITIONS angstrom
Zr 0.000 0.818 0.000
Zr 0.000 6.944 3.456
Bi 1.851 2.252 4.012
Bi 1.851 5.510 0.556
As 1.851 2.736 6.697
As 1.851 5.026 3.242
O 0.000 0.507 1.940
O 0.000 7.256 5.396

Entry 11:
! ZrBiAsO | the Open Quantum Materials Database | PBE-GGA | relaxed; values from VASP
! SG: Pmc2_1
! excess energy over the best structure of this formula in the dataset: 0.0 meV per atom
&SYSTEM
  ibrav = 0, nat = 8, ntyp = 4
/
ATOMIC_SPECIES
Zr 91.22 Zr.upf
Bi 208.98 Bi.upf
As 74.92 As.upf
O 16.00 O.upf
CELL_PARAMETERS angstrom
3.778 0.000 0.000
0.000 8.652 0.000
0.000 0.000 5.625
ATOMIC_POSITIONS angstrom
Zr 0.000 1.225 0.000
Zr 0.000 7.427 2.812
Bi 1.889 3.596 2.750
Bi 1.889 5.057 5.563
As 0.000 1.470 2.825
As 0.000 7.183 0.012
O 1.889 1.928 0.018
O 1.889 6.724 2.830